This record from the Alexandria database describes AlReW2O8 after structural relaxation. The functional is PBE+U.

Summary:
distance to the lowest polymorph of the same formula: 0 meV per atom
spin magnetization: 12.00 μB per cell
volume: 270.5 Å³/cell
calculated total energy: -7.812 eV per atom

The structure in CIF format:
```
data_AlReW2O8
_cell_length_a 5.2168
_cell_length_b 5.5942
_cell_length_c 10.6076
_cell_angle_alpha 90.00
_cell_angle_beta 119.08
_cell_angle_gamma 90.00
_space_group_name_H-M_alt 'P 1'
_space_group_IT_number 1
_space_group_name_Hall 'P 1'
loop_
_atom_site_label
_atom_site_fract_x
_atom_site_fract_y
_atom_site_fract_z
Al1 0.0000 0.1601 0.2500
Al2 0.0000 0.8399 0.7500
Re1 0.5000 0.1369 0.7500
Re2 0.5000 0.8631 0.2500
W1 0.2404 0.3430 0.9971
W2 0.2404 0.6570 0.4971
W3 0.7596 0.3430 0.5029
W4 0.7596 0.6570 0.0029
O1 0.0245 0.3783 0.1207
O2 0.0245 0.6217 0.6207
O3 0.0595 0.1058 0.6428
O4 0.0595 0.8942 0.1428
O5 0.4316 0.1214 0.3585
O6 0.4316 0.8786 0.8585
O7 0.4809 0.3711 0.8832
O8 0.4809 0.6289 0.3832
O9 0.5191 0.3711 0.6168
O10 0.5191 0.6289 0.1168
O11 0.5684 0.1214 0.1415
O12 0.5684 0.8786 0.6415
O13 0.9405 0.1058 0.8572
O14 0.9405 0.8942 0.3572
O15 0.9755 0.3783 0.3793
O16 0.9755 0.6217 0.8793
```